# 1
{
  "formula": "Ta2Be2Pd",
  "functional": "GGA-PBEsol",
  "state": "relaxed",
  "dos_at_fermi_per_ev_cell": 5.430,
  "ef_ev_per_atom": -0.315,
  "total_magnetization_mub_per_fu": 0.0,
  "lattice_angstrom": [[-0.0819, 3.3624, -1.3661], [-5.0836, -1.2913, -2.8735], [-3.1474, 1.8481, 4.7377]],
  "species": ["Be", "Be", "Be", "Be", "Pd", "Pd", "Ta", "Ta", "Ta", "Ta"],
  "fractional_positions": [[0.0000, 0.3731, 0.8731], [0.0000, 0.8731, 0.6269], [0.0000, 0.6269, 0.1269], [0.0000, 0.1269, 0.3731], [0.0000, 0.0000, 0.0000], [0.0000, 0.5000, 0.5000], [0.5000, 0.1703, 0.6703], [0.5000, 0.6703, 0.8297], [0.5000, 0.8297, 0.3297], [0.5000, 0.3297, 0.1703]]
}

# 2
{
  "formula": "CsO2",
  "functional": "GGA-PBEsol",
  "state": "relaxed",
  "dos_at_fermi_per_ev_cell": 2.853,
  "total_magnetization_mub_per_fu": 1.0,
  "e_form_raw_ev_per_atom": -0.839,
  "lattice_angstrom": [[4.0233, 0.2630, 0.0000], [-1.3805, 3.7882, 0.0000], [0.0000, 0.0000, 3.7810]],
  "species": ["Cs", "O", "O"],
  "fractional_positions": [[0.5000, 0.5000, 0.0000], [0.1041, 0.8959, 0.5000], [0.8959, 0.1041, 0.5000]]
}

# 3
{
  "formula": "Li2TiNi2O6",
  "functional": "GGA-PBEsol",
  "state": "relaxed",
  "dos_at_fermi_per_ev_cell": 6.025,
  "total_magnetization_mub_per_fu": 2.0,
  "e_form_raw_ev_per_atom": -1.744,
  "lattice_angstrom": [[-4.9966, -2.4386, 1.6574], [0.8730, -0.3368, 7.6471], [-3.5031, 5.8592, 3.5709]],
  "species": ["Li", "Li", "Li", "Li", "Li", "Li", "Ti", "Ti", "Ti", "Ni", "Ni", "Ni", "Ni", "Ni", "Ni", "O", "O", "O", "O", "O", "O", "O", "O", "O", "O", "O", "O", "O", "O", "O", "O", "O", "O"],
  "fractional_positions": [[0.3336, 0.6558, 0.9918], [0.3336, 0.9918, 0.6558], [0.6664, 0.3442, 0.0082], [0.6664, 0.0082, 0.3442], [0.0000, 0.3220, 0.6780], [0.0000, 0.6780, 0.3220], [0.5000, 0.3305, 0.6695], [0.5000, 0.0000, 0.0000], [0.5000, 0.6695, 0.3305], [0.8344, 0.6690, 0.9949], [0.8414, 0.3360, 0.3360], [0.8344, 0.9949, 0.6690], [0.1656, 0.3310, 0.0051], [0.1656, 0.0051, 0.3310], [0.1586, 0.6640, 0.6640], [0.7386, 0.4891, 0.4891], [0.0502, 0.5142, 0.1516], [0.0502, 0.1516, 0.5142], [0.2614, 0.5109, 0.5109], [0.6059, 0.5171, 0.1649], [0.6059, 0.1649, 0.5171], [0.9498, 0.4858, 0.8484], [0.9357, 0.1884, 0.1884], [0.9498, 0.8484, 0.4858], [0.3941, 0.4829, 0.8351], [0.3924, 0.1598, 0.1598], [0.3941, 0.8351, 0.4829], [0.7216, 0.1748, 0.8404], [0.7216, 0.8404, 0.1748], [0.0643, 0.8116, 0.8116], [0.2784, 0.1596, 0.8252], [0.2784, 0.8252, 0.1596], [0.6076, 0.8402, 0.8402]]
}

# 4
{
  "formula": "YMgCl2",
  "functional": "GGA-PBEsol",
  "state": "relaxed",
  "dos_at_fermi_per_ev_cell": 2.342,
  "total_magnetization_mub_per_fu": 0.0,
  "e_form_raw_ev_per_atom": -0.981,
  "lattice_angstrom": [[3.8453, 0.0000, 0.0000], [0.0000, 3.8453, 0.0000], [-1.9226, -1.9226, 5.9118]],
  "species": ["Cl", "Cl", "Mg", "Y"],
  "fractional_positions": [[0.0000, 0.0000, 0.0000], [0.7500, 0.2500, 0.5000], [0.5000, 0.5000, 0.0000], [0.2500, 0.7500, 0.5000]]
}

# 5
{
  "formula": "Ta2CrIr",
  "functional": "GGA-PBEsol",
  "state": "relaxed",
  "dos_at_fermi_per_ev_cell": 2.654,
  "ef_ev_per_atom": -0.297,
  "total_magnetization_mub_per_fu": 0.0,
  "lattice_angstrom": [[3.1123, 0.0000, 0.0000], [0.0000, 3.1123, 0.0000], [0.0000, 0.0000, 6.2314]],
  "species": ["Cr", "Ir", "Ta", "Ta"],
  "fractional_positions": [[0.5000, 0.5000, 0.0000], [0.5000, 0.5000, 0.5000], [0.0000, 0.0000, 0.7652], [0.0000, 0.0000, 0.2348]]
}

# 6
{
  "formula": "CdPCl2",
  "functional": "GGA-PBEsol",
  "state": "relaxed",
  "dos_at_fermi_per_ev_cell": 3.661,
  "total_magnetization_mub_per_fu": 0.0,
  "e_form_raw_ev_per_atom": 0.348,
  "lattice_angstrom": [[-0.5270, -4.0974, -2.3524], [-2.0603, -3.7166, 2.1314], [-4.3283, -1.4207, -1.3594]],
  "species": ["Cd", "Cl", "Cl", "P"],
  "fractional_positions": [[0.5000, 0.5000, 0.5000], [0.0000, 0.0000, 0.0000], [0.2500, 0.2500, 0.2500], [0.7500, 0.7500, 0.7500]]
}

# 7
{
  "formula": "ZnAgHgB2",
  "functional": "GGA-PBEsol",
  "state": "relaxed",
  "dos_at_fermi_per_ev_cell": 1.702,
  "ef_ev_per_atom": 1.324,
  "total_magnetization_mub_per_fu": 0.0,
  "lattice_angstrom": [[4.0885, 0.0000, 0.0000], [0.0000, 4.0885, 0.0000], [0.0000, 0.0000, 5.1224]],
  "species": ["Zn", "B", "B", "Hg", "Ag"],
  "fractional_positions": [[0.0000, 0.0000, 0.5000], [0.0000, 0.5000, 0.0000], [0.5000, 0.0000, 0.0000], [0.5000, 0.5000, 0.5000], [0.0000, 0.0000, 0.0000]]
}

# 8
{
  "formula": "Sr2CaMg",
  "functional": "GGA-PBEsol",
  "state": "relaxed",
  "dos_at_fermi_per_ev_cell": 3.558,
  "ef_ev_per_atom": 0.033,
  "total_magnetization_mub_per_fu": 0.0,
  "lattice_angstrom": [[6.0528, 0.0000, 0.0000], [3.0264, 5.2419, 0.0000], [3.0264, 1.7473, 4.9421]],
  "species": ["Sr", "Sr", "Ca", "Mg"],
  "fractional_positions": [[0.0000, 0.0000, 0.0000], [0.7500, 0.7500, 0.7500], [0.5000, 0.5000, 0.5000], [0.2500, 0.2500, 0.2500]]
}

# 9
{
  "formula": "Rb2NaYI6",
  "functional": "GGA-PBEsol",
  "state": "relaxed",
  "dos_at_fermi_per_ev_cell": 0.000,
  "total_magnetization_mub_per_fu": 0.0,
  "e_form_raw_ev_per_atom": -1.375,
  "lattice_angstrom": [[8.5162, 0.0000, 0.0000], [4.2581, 7.3753, 0.0000], [4.2581, 2.4584, 6.9535]],
  "species": ["Rb", "Rb", "Na", "Y", "I", "I", "I", "I", "I", "I"],
  "fractional_positions": [[0.7500, 0.7500, 0.7500], [0.2500, 0.2500, 0.2500], [0.5000, 0.5000, 0.5000], [0.0000, 0.0000, 0.0000], [0.7535, 0.2465, 0.2465], [0.7535, 0.7535, 0.2465], [0.2465, 0.7535, 0.7535], [0.7535, 0.2465, 0.7535], [0.2465, 0.7535, 0.2465], [0.2465, 0.2465, 0.7535]]
}

# 10
{
  "formula": "LaSbW2",
  "functional": "GGA-PBEsol",
  "state": "relaxed",
  "dos_at_fermi_per_ev_cell": 3.484,
  "total_magnetization_mub_per_fu": 0.0,
  "e_form_raw_ev_per_atom": 0.127,
  "lattice_angstrom": [[3.2746, 0.0000, 0.0000], [0.0000, 3.2746, 0.0000], [0.0000, 0.0000, 7.8242]],
  "species": ["La", "Sb", "W", "W"],
  "fractional_positions": [[0.0000, 0.0000, 0.4747], [0.5000, 0.5000, 0.8036], [0.0000, 0.0000, 0.0240], [0.5000, 0.5000, 0.1977]]
}

# 11
{
  "formula": "KNiSb2",
  "functional": "GGA-PBEsol",
  "state": "relaxed",
  "dos_at_fermi_per_ev_cell": 1.679,
  "total_magnetization_mub_per_fu": 0.0,
  "e_form_raw_ev_per_atom": -0.126,
  "lattice_angstrom": [[3.1220, 0.0000, 0.0000], [0.0000, 3.6929, 0.0000], [-1.5610, -1.8464, 8.5549]],
  "species": ["K", "Ni", "Sb", "Sb"],
  "fractional_positions": [[0.5626, 0.5626, 0.1252], [0.2940, 0.7940, 0.5880], [0.9112, 0.9112, 0.8224], [0.7322, 0.2322, 0.4645]]
}

# 12
{
  "formula": "SrAgIr2",
  "functional": "GGA-PBEsol",
  "state": "relaxed",
  "dos_at_fermi_per_ev_cell": 2.975,
  "ef_ev_per_atom": 0.293,
  "total_magnetization_mub_per_fu": 0.0,
  "lattice_angstrom": [[2.9009, 0.0000, 0.0000], [-1.4504, 4.3599, 0.0215], [0.0000, -1.0196, 6.3191]],
  "species": ["Ag", "Ir", "Ir", "Sr"],
  "fractional_positions": [[0.7387, 0.4774, 0.1987], [0.9951, 0.9902, 0.9491], [0.2552, 0.5103, 0.8408], [0.5111, 0.0221, 0.5114]]
}

# 13
{
  "formula": "VNi3AsO8",
  "functional": "GGA-PBEsol",
  "state": "relaxed",
  "total_magnetization_mub_per_fu": 5.9,
  "e_form_raw_ev_per_atom": -1.250,
  "lattice_angstrom": [[5.8235, 0.0000, 0.0000], [-2.9117, 5.6350, -0.0014], [0.0000, -0.0087, 8.1305]],
  "species": ["V", "V", "Ni", "Ni", "Ni", "Ni", "Ni", "Ni", "As", "As", "O", "O", "O", "O", "O", "O", "O", "O", "O", "O", "O", "O", "O", "O", "O", "O"],
  "fractional_positions": [[0.3762, 0.7524, 0.8834], [0.6238, 0.2476, 0.1166], [0.1178, 0.7373, 0.2501], [0.3805, 0.2627, 0.7499], [0.8822, 0.2627, 0.7499], [0.6195, 0.7373, 0.2501], [0.5000, 0.0000, 0.5000], [0.0000, 0.0000, 0.0000], [0.1265, 0.2530, 0.3847], [0.8735, 0.7470, 0.6153], [0.4991, 0.9982, 0.2552], [0.5009, 0.0018, 0.7448], [0.9982, 0.9964, 0.7509], [0.0018, 0.0036, 0.2491], [0.2487, 0.4974, 0.2571], [0.7513, 0.5026, 0.7429], [0.2460, 0.4921, 0.7693], [0.7540, 0.5079, 0.2307], [0.1233, 0.7546, 0.4971], [0.3687, 0.2454, 0.5029], [0.8569, 0.2334, 0.9938], [0.6235, 0.7666, 0.0062], [0.8767, 0.2454, 0.5029], [0.6313, 0.7546, 0.4971], [0.1431, 0.7666, 0.0062], [0.3765, 0.2334, 0.9938]]
}

# 14
{
  "formula": "AgCO2",
  "functional": "GGA-PBEsol",
  "state": "relaxed",
  "dos_at_fermi_per_ev_cell": 0.440,
  "total_magnetization_mub_per_fu": 0.0,
  "e_form_raw_ev_per_atom": -0.589,
  "lattice_angstrom": [[2.9139, 0.0000, 0.0000], [1.4570, 2.5236, 0.0000], [1.4570, 0.8412, 9.4762]],
  "species": ["C", "O", "O", "Ag"],
  "fractional_positions": [[0.0000, 0.0000, 0.0000], [0.9587, 0.9587, 0.1240], [0.0413, 0.0413, 0.8760], [0.5000, 0.5000, 0.5000]]
}

# 15
{
  "formula": "Co2AgIr",
  "functional": "GGA-PBEsol",
  "state": "relaxed",
  "dos_at_fermi_per_ev_cell": 4.544,
  "ef_ev_per_atom": 0.300,
  "total_magnetization_mub_per_fu": 3.6,
  "lattice_angstrom": [[2.6480, 0.0000, 0.0000], [0.0000, 4.4921, -0.0012], [0.0000, -1.2572, 4.3126]],
  "species": ["Ir", "Co", "Co", "Ag"],
  "fractional_positions": [[0.5000, 0.0000, 0.0000], [0.0000, 0.5000, 0.0000], [0.0000, 0.0000, 0.5000], [0.5000, 0.5000, 0.5000]]
}

# 16
{
  "formula": "Mn2CrCl",
  "functional": "GGA-PBEsol",
  "state": "relaxed",
  "dos_at_fermi_per_ev_cell": 4.019,
  "total_magnetization_mub_per_fu": 3.3,
  "e_form_raw_ev_per_atom": 0.332,
  "lattice_angstrom": [[-0.9129, -0.3258, -2.6560], [1.6231, -2.2985, -0.2759], [-4.9354, -3.7440, 2.1557]],
  "species": ["Cr", "Mn", "Mn", "Cl"],
  "fractional_positions": [[0.5000, 0.5000, 0.5000], [0.0000, 0.0000, 0.7185], [0.0000, 0.0000, 0.2815], [0.5000, 0.5000, 0.0000]]
}

# 17
{
  "formula": "LiCaSe",
  "functional": "GGA-PBEsol",
  "state": "relaxed",
  "dos_at_fermi_per_ev_cell": 1.848,
  "total_magnetization_mub_per_fu": 0.0,
  "e_form_raw_ev_per_atom": -0.673,
  "lattice_angstrom": [[-0.8665, -4.6871, 0.2222], [3.6238, -3.1031, -0.0906], [1.1393, -2.4531, 3.9311]],
  "species": ["Ca", "Se", "Li"],
  "fractional_positions": [[0.2500, 0.2500, 0.2500], [0.5000, 0.5000, 0.5000], [0.0000, 0.0000, 0.0000]]
}

# 18
{
  "formula": "Mg2TeP",
  "functional": "GGA-PBEsol",
  "state": "relaxed",
  "dos_at_fermi_per_ev_cell": 2.284,
  "total_magnetization_mub_per_fu": 0.0,
  "e_form_raw_ev_per_atom": -0.158,
  "lattice_angstrom": [[4.9025, 0.0000, 0.0000], [2.4513, 4.2457, 0.0000], [2.4513, 1.4152, 4.0029]],
  "species": ["Mg", "Mg", "P", "Te"],
  "fractional_positions": [[0.2500, 0.2500, 0.2500], [0.7500, 0.7500, 0.7500], [0.0000, 0.0000, 0.0000], [0.5000, 0.5000, 0.5000]]
}

# 19
{
  "formula": "LiMn3Al",
  "functional": "GGA-PBEsol",
  "state": "relaxed",
  "dos_at_fermi_per_ev_cell": 5.963,
  "ef_ev_per_atom": 1.160,
  "total_magnetization_mub_per_fu": 10.6,
  "lattice_angstrom": [[4.6086, 0.0000, 0.0000], [0.0000, 4.6086, 0.0000], [0.0000, 0.0000, 4.6086]],
  "species": ["Mn", "Mn", "Mn", "Al", "Li"],
  "fractional_positions": [[0.0000, 0.5000, 0.0000], [0.0000, 0.0000, 0.5000], [0.5000, 0.0000, 0.0000], [0.0000, 0.0000, 0.0000], [0.5000, 0.5000, 0.5000]]
}

# 20
{
  "formula": "SrSbRh2",
  "functional": "GGA-PBEsol",
  "state": "relaxed",
  "dos_at_fermi_per_ev_cell": 2.404,
  "total_magnetization_mub_per_fu": 0.0,
  "e_form_raw_ev_per_atom": -0.425,
  "lattice_angstrom": [[4.3710, 0.0000, 0.0000], [2.1855, 3.7854, 0.0000], [2.1855, 1.2618, 5.5108]],
  "species": ["Sb", "Rh", "Rh", "Sr"],
  "fractional_positions": [[0.4574, 0.4574, 0.6279], [0.0571, 0.0571, 0.8287], [0.7266, 0.7266, 0.8201], [0.2589, 0.2589, 0.2233]]
}